(1)
KYW2: relaxed, PBE.

The structure in extended XYZ format:
```
8
Lattice="5.5782 0.0000 0.0000 0.0000 10.8718 0.0000 0.0000 0.0000 2.7958" Properties=species:S:1:pos:R:3 pbc="T T T"
K 0.0000 0.0000 0.0000
K 2.7891 5.4359 0.0000
Y 0.0000 5.4359 0.0000
Y 2.7891 0.0000 0.0000
W 1.3946 2.7180 1.3979
W 1.3946 8.1539 1.3979
W 4.1837 2.7180 1.3979
W 4.1837 8.1539 1.3979
```

## Properties
DOS at the Fermi energy: 1.44 states/eV per atom
Crystal system: orthorhombic
Total moment: 0.0 μB/f.u.
Relative energy among the computed polymorphs: 0.690 eV/atom
Energy of formation: 1.36 eV/atom

=====

(2)
K2YW2: relaxed, PBE.

The structure in extended XYZ format:
```
10
Lattice="3.5685 0.0000 0.0000 0.0000 3.5685 0.0000 0.0000 0.0000 27.5271" Properties=species:S:1:pos:R:3 pbc="T T T"
K 0.0000 0.0000 3.6183
K 0.0000 0.0000 23.9088
K 1.7843 1.7843 10.1452
K 1.7843 1.7843 17.3819
Y 0.0000 0.0000 13.7636
Y 1.7843 1.7843 0.0000
W 0.0000 1.7843 6.8818
W 0.0000 1.7843 20.6453
W 1.7843 0.0000 6.8818
W 1.7843 0.0000 20.6453
```

## Properties
DOS at the Fermi energy: 1.32 states/eV per atom
Crystal system: tetragonal
Total moment: 0.3 μB/f.u.
Energy of formation: 1.17 eV/atom

=====

energy of formation of number 2 (K2YW2)? 1.17 eV/atom